First-principles (PBE) data for Sm3Sn2Pd4 after structural relaxation, as listed in the Alexandria database.

Properties
Density (g/cm³): 9.00
Spin magnetization (Bohr magnetons per cell): 0.00
Volume (Å³ per cell): 205.47
ΔH_f (0 K) (eV/f.u.): -7.359

Unit cell a=4.560 b=5.497 c=9.032 alpha=93.83 beta=90.00 gamma=114.50
Positions (direct):
Sm: 0.000 0.000 0.000
Sm: 0.629 0.258 0.388
Sm: 0.371 0.742 0.612
Sn: 0.331 0.662 0.216
Sn: 0.669 0.338 0.784
Pd: 0.081 0.161 0.629
Pd: 0.718 0.435 0.089
Pd: 0.282 0.565 0.911
Pd: 0.919 0.839 0.371

=====

First-principles (PBE) data for TaBe2 after structural relaxation, as listed in the Alexandria database.

Properties
Density (g/cm³): 9.12
Spin magnetization (Bohr magnetons per cell): 0.00
Volume (Å³ per cell): 72.42
ΔH_f (0 K) (eV/f.u.): 0.357

Unit cell a=4.861 b=4.861 c=6.519 alpha=70.04 beta=70.04 gamma=30.18
Positions (direct):
Ta: 0.160 0.160 0.877
Ta: 0.840 0.840 0.123
Be: 0.851 0.851 0.522
Be: 0.458 0.458 0.728
Be: 0.542 0.542 0.272
Be: 0.149 0.149 0.478

=====

First-principles (PBE) data for HoEr4Th3 after structural relaxation, as listed in the Alexandria database.

Properties
Polymorph energy (0 for the lowest one) (meV per atom): 0
Density (g/cm³): 10.20
Spin magnetization (Bohr magnetons per cell): 0.00
Volume (Å³ per cell): 249.19
ΔH_f (0 K) (eV/f.u.): 0.208

Unit cell a=3.554 b=6.068 c=11.733 alpha=95.00 beta=98.71 gamma=90.00
Positions (direct):
Th: 0.625 0.376 0.250
Th: 0.375 0.624 0.750
Th: 0.000 0.500 0.000
Er: 0.250 0.254 0.500
Er: 0.876 0.125 0.751
Er: 0.750 0.746 0.500
Er: 0.124 0.875 0.249
Ho: 0.500 0.000 0.000

=====

First-principles (PBE) data for Ba2Sc2Sb2As after structural relaxation, as listed in the Alexandria database.

Properties
Uncorrected formation energy (kJ/mol of atoms): -98
Density (g/cm³): 4.93
Spin magnetization (Bohr magnetons per cell): 0.00
Volume (Å³ per cell): 229.88

Unit cell a=5.082 b=5.082 c=9.599 alpha=105.35 beta=105.35 gamma=90.00
Positions (direct):
As: 0.000 0.000 0.000
Sb: 0.385 0.385 0.769
Sb: 0.615 0.615 0.231
Sc: 0.500 0.000 0.000
Sc: 0.000 0.500 0.000
Ba: 0.176 0.176 0.352
Ba: 0.824 0.824 0.648

=====

First-principles (PBE) data for SmAg2Pd after structural relaxation, as listed in the Alexandria database.

Properties
Polymorph energy (0 for the lowest one) (meV per atom): 102
Density (g/cm³): 9.51
Spin magnetization (Bohr magnetons per cell): 0.00
Volume (Å³ per cell): 82.55
ΔH_f (0 K) (eV/f.u.): -1.233

Unit cell a=4.942 b=4.087 c=4.087 alpha=90.00 beta=90.00 gamma=90.00
Positions (direct):
Ag: 0.000 0.000 0.500
Ag: 0.000 0.500 0.000
Sm: 0.500 0.500 0.500
Pd: 0.500 0.000 0.000

=====

First-principles (PBE) data for K3YbS3O12 after structural relaxation, as listed in the Alexandria database.

Properties
Uncorrected formation energy (kJ/mol of atoms): -185
Density (g/cm³): 3.13
Spin magnetization (Bohr magnetons per cell): 2.48
Volume (Å³ per cell): 614.71

Unit cell a=9.283 b=9.283 c=9.233 alpha=71.11 beta=71.11 gamma=110.33
Site moments in Bohr magnetons follow the coordinates.
Positions (direct):
K: 0.166 0.300 0.522  0.00
K: 0.300 0.166 0.022  0.00
K: 0.447 0.938 0.358  0.00
K: 0.812 0.844 0.113  0.00
K: 0.938 0.447 0.858  0.00
K: 0.844 0.812 0.613  0.00
O: 0.582 0.440 0.296  0.05
O: 0.440 0.582 0.796  0.05
O: 0.467 0.412 0.653  0.04
O: 0.236 0.811 0.878  0.07
O: 0.133 0.856 0.666  0.06
O: 0.143 0.027 0.821  0.05
O: 0.830 0.115 0.824  0.03
O: 0.412 0.467 0.153  0.04
O: 0.164 0.598 0.291  0.03
O: 0.027 0.143 0.321  0.05
O: 0.623 0.913 0.776  0.05
O: 0.856 0.133 0.166  0.06
O: 0.731 0.603 0.976  0.03
O: 0.081 0.413 0.094  0.07
O: 0.542 0.282 0.131  0.03
O: 0.282 0.542 0.631  0.03
O: 0.913 0.623 0.276  0.05
O: 0.413 0.081 0.594  0.07
O: 0.811 0.236 0.378  0.07
O: 0.603 0.731 0.476  0.03
O: 0.518 0.905 0.051  0.03
O: 0.905 0.518 0.551  0.03
O: 0.598 0.164 0.791  0.03
O: 0.115 0.830 0.324  0.03
S: 0.570 0.447 0.135  0.00
S: 0.228 0.944 0.741  -0.01
S: 0.447 0.570 0.635  0.00
S: 0.944 0.228 0.241  -0.01
S: 0.648 0.029 0.858  0.00
S: 0.029 0.648 0.358  0.00
Yb: 0.343 0.659 0.005  0.62
Yb: 0.659 0.343 0.505  0.62

=====

First-principles (PBE) data for NaGaB2Pd after structural relaxation, as listed in the Alexandria database.

Properties
Density (g/cm³): 4.45
Spin magnetization (Bohr magnetons per cell): 0.00
Volume (Å³ per cell): 82.44
ΔH_f (0 K) (eV/f.u.): 6.662

Unit cell a=4.067 b=4.983 c=4.067 alpha=90.00 beta=90.00 gamma=90.00
Positions (direct):
Na: 0.000 0.500 0.000
B: 0.000 0.000 0.500
B: 0.500 0.000 0.000
Pd: 0.500 0.500 0.500
Ga: 0.000 0.000 0.000

=====

First-principles (PBE) data for NaLuZn2 after structural relaxation, as listed in the Alexandria database.

Properties
Polymorph energy (0 for the lowest one) (meV per atom): 0
Density (g/cm³): 6.33
Spin magnetization (Bohr magnetons per cell): 0.00
Volume (Å³ per cell): 86.21
ΔH_f (0 K) (eV/f.u.): -0.355

Unit cell a=3.329 b=5.089 c=5.089 alpha=90.00 beta=90.00 gamma=90.00
Positions (direct):
Zn: 0.000 0.000 0.500
Zn: 0.000 0.500 0.000
Lu: 0.500 0.000 0.000
Na: 0.500 0.500 0.500

=====

First-principles (PBE) data for K2TaAs after structural relaxation, as listed in the Alexandria database.

Properties
Density (g/cm³): 4.07
Spin magnetization (Bohr magnetons per cell): 0.11
Volume (Å³ per cell): 136.29
ΔH_f (0 K) (eV/f.u.): 0.924

Unit cell a=3.606 b=3.606 c=10.480 alpha=90.00 beta=90.00 gamma=90.00
Site moments in Bohr magnetons follow the coordinates.
Positions (direct):
K: 0.500 0.500 0.327  0.00
K: 0.000 0.000 0.924  0.00
As: 0.500 0.500 0.652  0.00
Ta: 0.000 0.000 0.597  0.06

=====

First-principles (PBE) data for BiI2Br after structural relaxation, as listed in the Alexandria database.

Properties
Polymorph energy (0 for the lowest one) (meV per atom): 134
Uncorrected formation energy (kJ/mol of atoms): -36
Density (g/cm³): 5.02
Spin magnetization (Bohr magnetons per cell): 0.00
Volume (Å³ per cell): 359.01

Unit cell a=11.109 b=11.109 c=8.377 alpha=48.46 beta=48.46 gamma=90.00
Positions (direct):
I: 0.875 0.010 0.750
I: 0.990 0.625 0.250
I: 0.760 0.125 0.250
I: 0.375 0.240 0.750
Br: 0.250 0.750 0.500
Br: 0.500 0.500 0.000
Bi: 0.000 0.000 0.000
Bi: 0.750 0.250 0.500

=====

First-principles (PBE) data for Th8CuOs3Se4 after structural relaxation, as listed in the Alexandria database.

Properties
Uncorrected formation energy (kJ/mol of atoms): -93
Density (g/cm³): 10.73
Spin magnetization (Bohr magnetons per cell): 0.00
Volume (Å³ per cell): 434.33

Unit cell a=8.258 b=8.764 c=8.258 alpha=118.11 beta=120.00 gamma=90.00
Positions (direct):
Se: 0.000 0.000 0.500
Se: 0.500 0.000 0.000
Se: 0.500 0.000 0.500
Se: 0.000 0.000 0.000
Th: 0.756 0.283 0.512
Th: 0.756 0.283 0.026
Th: 0.739 0.717 0.479
Th: 0.244 0.717 0.488
Th: 0.244 0.717 0.974
Th: 0.270 0.283 0.026
Th: 0.261 0.283 0.521
Th: 0.730 0.717 0.974
Os: 0.500 0.500 0.500
Os: 0.500 0.500 0.000
Os: 0.000 0.500 0.500
Cu: 0.000 0.500 0.000

=====

First-principles (PBE) data for Y3Tl5 after structural relaxation, as listed in the Alexandria database.

Properties
Polymorph energy (0 for the lowest one) (meV per atom): 0
Density (g/cm³): 9.82
Spin magnetization (Bohr magnetons per cell): 0.00
Volume (Å³ per cell): 435.82
ΔH_f (0 K) (eV/f.u.): -2.524

Unit cell a=6.491 b=6.491 c=10.581 alpha=90.00 beta=90.00 gamma=102.16
Positions (direct):
Tl: 0.998 0.998 0.750
Tl: 0.488 0.932 0.750
Tl: 0.302 0.302 0.463
Tl: 0.302 0.302 0.037
Tl: 0.932 0.488 0.750
Tl: 0.512 0.068 0.250
Tl: 0.002 0.002 0.250
Tl: 0.698 0.698 0.963
Tl: 0.068 0.512 0.250
Tl: 0.698 0.698 0.537
Y: 0.391 0.391 0.750
Y: 0.207 0.793 0.500
Y: 0.609 0.609 0.250
Y: 0.207 0.793 0.000
Y: 0.793 0.207 0.500
Y: 0.793 0.207 0.000

=====

First-principles (PBE) data for Pm6Ho3Tm after structural relaxation, as listed in the Alexandria database.

Properties
Polymorph energy (0 for the lowest one) (meV per atom): 0
Density (g/cm³): 7.65
Spin magnetization (Bohr magnetons per cell): 0.00
Volume (Å³ per cell): 666.12
ΔH_f (0 K) (eV/f.u.): 1.429

Unit cell a=6.303 b=11.085 c=11.085 alpha=120.68 beta=90.00 gamma=90.00
Positions (direct):
Pm: 0.651 0.279 0.721
Pm: 0.355 0.520 0.943
Pm: 0.355 0.057 0.480
Pm: 0.046 0.375 0.287
Pm: 0.151 0.721 0.279
Pm: 0.855 0.480 0.057
Pm: 0.046 0.713 0.625
Pm: 0.546 0.287 0.375
Pm: 0.902 0.038 0.962
Pm: 0.402 0.962 0.038
Pm: 0.855 0.943 0.520
Pm: 0.546 0.625 0.713
Ho: 0.469 0.280 0.054
Ho: 0.969 0.054 0.280
Ho: 0.969 0.720 0.946
Ho: 0.077 0.387 0.613
Ho: 0.469 0.946 0.720
Ho: 0.577 0.613 0.387
Tm: 0.116 0.197 0.803
Tm: 0.616 0.803 0.197

=====

First-principles (PBE) data for FeTc2Os after structural relaxation, as listed in the Alexandria database.

Properties
Polymorph energy (0 for the lowest one) (meV per atom): 0
Density (g/cm³): 13.43
Spin magnetization (Bohr magnetons per cell): 0.88
Volume (Å³ per cell): 54.67
ΔH_f (0 K) (eV/f.u.): 0.311

Unit cell a=4.652 b=4.652 c=4.652 alpha=131.89 beta=131.89 gamma=70.40
Site moments in Bohr magnetons follow the coordinates.
Positions (direct):
Tc: 0.000 0.000 0.000  -0.21
Tc: 0.500 0.500 0.000  -0.21
Fe: 0.250 0.750 0.500  1.42
Os: 0.750 0.250 0.500  -0.10

=====

First-principles (PBE) data for Cr2HgPb after structural relaxation, as listed in the Alexandria database.

Properties
Polymorph energy (0 for the lowest one) (meV per atom): 256
Density (g/cm³): 10.19
Spin magnetization (Bohr magnetons per cell): 8.06
Volume (Å³ per cell): 83.44
ΔH_f (0 K) (eV/f.u.): 2.519

Unit cell a=5.661 b=5.661 c=5.661 alpha=136.98 beta=136.98 gamma=62.48
Site moments in Bohr magnetons follow the coordinates.
Positions (direct):
Pb: 0.750 0.250 0.500  -0.12
Cr: 0.250 0.750 0.500  3.63
Cr: 0.000 0.000 0.000  3.76
Hg: 0.500 0.500 0.000  0.01

=====

First-principles (PBE) data for CeNd4Dy7 after structural relaxation, as listed in the Alexandria database.

Properties
Density (g/cm³): 7.76
Spin magnetization (Bohr magnetons per cell): 1.46
Volume (Å³ per cell): 396.63
ΔH_f (0 K) (eV/f.u.): 1.821

Unit cell a=5.997 b=9.203 c=10.088 alpha=74.76 beta=89.93 gamma=49.38
Site moments in Bohr magnetons follow the coordinates.
Positions (direct):
Ce: 0.000 0.000 0.000  0.81
Dy: 0.064 0.186 0.629  0.01
Dy: 0.531 0.717 0.567  -0.03
Dy: 0.709 0.541 0.918  0.04
Dy: 0.291 0.459 0.082  0.04
Dy: 0.469 0.283 0.433  -0.03
Dy: 0.936 0.814 0.371  0.01
Dy: 0.500 0.000 0.000  0.30
Nd: 0.111 0.140 0.270  0.00
Nd: 0.889 0.860 0.730  0.00
Nd: 0.663 0.588 0.271  0.00
Nd: 0.337 0.412 0.729  0.00

=====

First-principles (PBE) data for PmYSb after structural relaxation, as listed in the Alexandria database.

Properties
Polymorph energy (0 for the lowest one) (meV per atom): 260
Uncorrected formation energy (kJ/mol of atoms): -57
Density (g/cm³): 5.78
Spin magnetization (Bohr magnetons per cell): 0.00
Volume (Å³ per cell): 204.47

Unit cell a=4.258 b=4.254 c=13.936 alpha=72.25 beta=90.00 gamma=120.06
Positions (direct):
Pm: 0.758 0.515 0.614
Pm: 0.242 0.485 0.386
Y: 0.238 0.476 0.893
Y: 0.762 0.524 0.107
Sb: 0.995 0.989 0.758
Sb: 0.005 0.011 0.242

=====

First-principles (PBE) data for Ta4Ti5W after structural relaxation, as listed in the Alexandria database.

Properties
Density (g/cm³): 10.67
Spin magnetization (Bohr magnetons per cell): 0.00
Volume (Å³ per cell): 178.57
ΔH_f (0 K) (eV/f.u.): 1.939

Unit cell a=2.841 b=9.832 c=7.283 alpha=115.97 beta=101.25 gamma=90.00
Positions (direct):
Ti: 0.222 0.612 0.445
Ti: 0.823 0.938 0.646
Ti: 0.778 0.388 0.555
Ti: 0.500 0.500 0.000
Ti: 0.177 0.062 0.354
Ta: 0.618 0.782 0.237
Ta: 0.382 0.218 0.763
Ta: 0.077 0.288 0.154
Ta: 0.923 0.712 0.846
W: 0.500 0.000 0.000

=====

First-principles (PBE) data for Nd3ErHg2 after structural relaxation, as listed in the Alexandria database.

Properties
Polymorph energy (0 for the lowest one) (meV per atom): 255
Density (g/cm³): 8.05
Spin magnetization (Bohr magnetons per cell): 0.00
Volume (Å³ per cell): 412.87
ΔH_f (0 K) (eV/f.u.): -0.432

Unit cell a=7.287 b=7.603 c=9.125 alpha=114.62 beta=113.53 gamma=90.00
Positions (direct):
Nd: 0.773 0.523 0.546
Nd: 0.500 0.250 0.000
Nd: 0.227 0.977 0.454
Nd: 0.500 0.750 0.000
Nd: 0.227 0.477 0.454
Nd: 0.773 0.023 0.546
Er: 0.000 0.500 0.000
Er: 0.000 0.000 0.000
Hg: 0.841 0.137 0.273
Hg: 0.159 0.863 0.727
Hg: 0.567 0.363 0.727
Hg: 0.433 0.637 0.273

=====

First-principles (PBE) data for Y3Pu2N4 after structural relaxation, as listed in the Alexandria database.

Properties
Uncorrected formation energy (kJ/mol of atoms): -126
Density (g/cm³): 8.96
Spin magnetization (Bohr magnetons per cell): 11.69
Volume (Å³ per cell): 150.22

Unit cell a=3.439 b=6.037 c=7.920 alpha=74.70 beta=77.46 gamma=73.45
Site moments in Bohr magnetons follow the coordinates.
Positions (direct):
N: 0.397 0.305 0.901  -0.04
N: 0.603 0.695 0.099  -0.04
N: 0.806 0.084 0.304  -0.12
N: 0.194 0.916 0.696  -0.12
Y: 0.000 0.000 0.000  0.08
Y: 0.792 0.602 0.813  0.14
Y: 0.208 0.398 0.187  0.14
Pu: 0.601 0.190 0.608  5.21
Pu: 0.399 0.810 0.392  5.21